Record 1
Rb4La3ScSe8 PBE-GGA relaxed; formation energy without anion corrections = -1.738 eV/atom
1.0
-3.128 7.959 -1.789
-5.650 -3.707 -6.612
-0.611 -3.214 8.102
Se Rb La Sc
8 4 3 1
Direct
0.221 0.695 0.443
0.248 0.305 0.027
0.779 0.305 0.027
0.265 0.295 0.530
0.735 0.705 0.470
0.752 0.695 0.973
0.779 0.305 0.557
0.221 0.695 0.973
0.000 0.000 0.000
0.500 0.000 0.500
0.500 0.000 0.000
0.000 0.000 0.500
0.500 0.500 0.000
0.000 0.500 0.500
0.500 0.500 0.500
0.000 0.500 0.000

Record 2
RbLa2ScSi PBE-GGA relaxed; formation energy without anion corrections = 0.465 eV/atom
1.0
5.808 0.000 0.000
0.000 5.302 0.000
0.000 0.000 5.808
La Sc Si Rb
2 1 1 1
Direct
0.000 0.000 0.500
0.500 0.000 0.000
0.000 0.000 0.000
0.000 0.500 0.000
0.500 0.500 0.500

Record 3
RbLaScTc2 PBE-GGA relaxed; formation energy from the elements = 1.594 eV per atom
1.0
-0.133 4.921 -0.104
-2.609 -0.176 -4.975
-4.360 -0.069 2.289
Tc Rb La Sc
2 1 1 1
Direct
0.000 0.000 0.500
0.500 0.000 0.000
0.000 0.500 0.000
0.000 0.000 0.000
0.500 0.500 0.500